Below is crystalline Li2ReW at its relaxed geometry, with properties calculated at the PBE-GGA level.

Lattice parameters (Å, degrees): 2.615 2.615 9.178 90.00 90.00 90.00
Fractional positions:
Li 0.000 0.000 0.992
Li 0.500 0.500 0.264
Re 0.000 0.000 0.496
W 0.500 0.500 0.748

M_tot in μB/f.u.: 0.00
Total DFT energy (no corrections) in Ry/atom: -0.50496
Formation energy from the elements in eV per atom: 0.44
Calculated volume in Å³/atom: 15.688
Distance to the lowest polymorph of the same formula in meV/atom: 205